# 1
ZrTlCdAg (PBE-GGA, optimized geometry); formation enthalpy at 0 K = -29 meV per atom; E = -14.80 eV per cell; energy relative to the lowest polymorph listed for this composition = 0 meV per atom
1.0
4.292 0.000 0.000
0.000 4.292 0.000
0.000 0.000 4.694
Zr Tl Cd Ag
1 1 1 1
Cartesian
2.146 0.000 2.347
0.000 2.146 2.347
0.000 0.000 0.000
2.146 2.146 0.000

# 2
Tl2CrTcBi (PBE-GGA, optimized geometry); formation enthalpy at 0 K = 1560 meV per atom; E = -20.80 eV per cell; energy relative to the lowest polymorph listed for this composition = 770 meV per atom
1.0
-2.794 0.667 -5.273
3.824 -2.681 -2.365
-3.002 -5.115 0.944
Cr Tl Bi Tc
1 2 1 1
Cartesian
-0.986 -3.564 -3.347
-1.501 -2.557 0.472
-1.397 0.333 -2.637
0.000 0.000 0.000
1.912 -1.340 -1.183

# 3
Sr2Hg2Au (PBE-GGA, optimized geometry); formation enthalpy at 0 K = -396 meV per atom; E = -18.45 eV per cell; energy relative to the lowest polymorph listed for this composition = 180 meV per atom
1.0
-2.576 4.723 6.665
-7.914 0.288 -3.263
-1.089 -3.843 2.302
Sr Au Hg
4 2 4
Cartesian
-7.373 1.776 -0.524
-7.464 4.093 3.302
-3.118 3.235 3.926
-3.026 0.917 0.100
0.000 0.000 0.000
-5.245 2.505 1.701
-5.837 -1.140 -0.048
-9.067 1.292 2.484
-5.743 2.308 5.752
-2.512 -0.124 3.220

# 4
Pr4Hg3 (PBE-GGA, optimized geometry); formation enthalpy at 0 K = -319 meV per atom; E = -22.26 eV per cell; energy relative to the lowest polymorph listed for this composition = 53 meV per atom
1.0
0.640 -0.669 5.335
-1.694 -4.559 2.380
7.420 -5.354 1.186
Pr Hg
4 3
Cartesian
0.373 -3.985 4.951
1.922 -6.610 7.184
4.444 -3.971 1.717
5.993 -6.596 3.949
1.573 -2.636 2.229
4.793 -7.945 6.672
0.000 0.000 0.000

# 5
Ag2HgHPt (PBE-GGA, optimized geometry); E = -12.09 eV per cell; energy relative to the lowest polymorph listed for this composition = 600 meV per atom
1.0
-1.812 -2.305 -4.403
4.470 1.294 -2.517
1.359 -2.866 0.941
Ag Hg Pt H
2 1 1 1
Cartesian
2.235 0.647 -1.258
-0.906 -1.153 -2.202
0.000 0.000 0.000
2.008 -1.939 -2.989
0.680 -1.433 0.471

# 6
Sm4SnTe2Se (PBE-GGA, optimized geometry); E = -43.60 eV per cell
1.0
-3.458 0.656 -2.620
-1.027 -7.608 -0.549
-4.619 -2.313 5.518
Sm Sn Te Se
4 1 2 1
Cartesian
-4.266 -7.300 3.804
-4.838 -1.965 -1.454
-3.642 -5.846 -0.330
-5.462 -3.419 2.679
-2.823 -4.960 2.485
-4.619 -2.313 5.518
-4.039 -0.829 1.449
-2.243 -3.476 -1.584

# 7
ScV3Rh (PBE-GGA, optimized geometry); formation enthalpy at 0 K = 1589 meV per atom; E = -33.09 eV per cell; energy relative to the lowest polymorph listed for this composition = 852 meV per atom
1.0
4.363 0.000 0.000
0.000 4.363 0.000
0.000 0.000 4.363
Sc Rh V
1 1 3
Cartesian
0.000 0.000 0.000
2.181 2.181 2.181
0.000 2.181 0.000
0.000 0.000 2.181
2.181 0.000 0.000

# 8
La8TcIr3I4 (PBE-GGA, optimized geometry); E = -97.67 eV per cell
1.0
8.496 0.000 0.000
0.000 9.564 0.746
-4.248 -4.240 6.013
La Tc Ir I
8 1 3 4
Cartesian
-2.164 2.490 6.287
0.000 4.650 3.224
0.000 0.728 3.517
2.164 2.490 6.287
2.084 2.833 0.471
4.248 4.596 3.242
4.248 0.674 3.534
6.412 2.833 0.471
0.000 4.782 0.373
4.248 4.782 0.373
2.124 2.662 3.379
-2.124 2.662 3.379
4.248 0.000 0.000
2.124 -2.120 3.006
0.000 0.000 0.000
-2.124 -2.120 3.006

# 9
GdSbPd (PBE-GGA, optimized geometry); E = -25.43 eV per cell
1.0
-1.769 3.628 0.399
-2.442 -0.847 -3.126
-0.840 -3.132 4.136
Sb Gd Pd
1 1 1
Cartesian
-2.846 0.953 -0.667
-1.689 -0.999 1.590
-4.684 -0.134 1.063

# 10
AcTbCuBi (PBE-GGA, optimized geometry); formation enthalpy at 0 K = -290 meV per atom; E = -17.87 eV per cell
1.0
5.482 0.000 0.000
2.741 4.748 0.000
2.741 1.583 4.476
Ac Tb Bi Cu
1 1 1 1
Cartesian
2.741 1.583 1.119
8.224 4.748 3.357
5.482 3.165 2.238
0.000 0.000 0.000

# 11
Zn2PbW (PBE-GGA, optimized geometry); formation enthalpy at 0 K = 490 meV per atom; E = -17.25 eV per cell
1.0
-8.409 2.455 -4.163
-9.491 0.826 -1.821
-8.815 3.778 -1.444
Pb W Zn
1 1 2
Cartesian
-6.679 1.765 -1.857
-20.036 5.295 -5.571
-0.286 0.076 -0.079
-13.072 3.454 -3.635

# 12
CeSc4Se5 (PBE-GGA, optimized geometry); E = -64.85 eV per cell
1.0
3.836 0.000 -0.740
-0.289 5.403 -1.500
0.032 -0.007 10.479
Ce Sc Se
1 4 5
Cartesian
0.000 0.000 0.000
1.453 2.169 7.533
2.844 4.299 4.427
0.736 1.098 3.812
2.126 3.227 0.706
2.315 0.593 1.689
3.009 1.628 5.286
0.570 3.768 2.954
-0.145 2.702 -0.750
1.264 4.803 6.550

# 13
CaGaAu5 (PBE-GGA, optimized geometry); formation enthalpy at 0 K = -386 meV per atom; E = -96.47 eV per cell
1.0
5.710 0.000 0.000
0.000 8.984 0.000
0.000 0.000 11.030
Ca Ga Au
4 4 20
Cartesian
1.427 2.229 10.386
4.282 2.263 4.871
1.427 6.721 6.159
4.282 6.755 0.644
1.427 7.499 9.289
4.282 5.977 3.774
1.427 3.007 7.256
4.282 1.485 1.741
1.427 5.377 0.239
4.282 8.099 5.754
1.427 0.885 5.276
4.282 3.607 10.792
4.282 2.862 7.876
1.427 1.630 2.361
4.282 7.354 8.670
1.427 6.122 3.155
1.427 8.283 0.671
4.282 5.193 6.186
1.427 3.791 4.844
4.282 0.701 10.359
5.640 3.946 2.286
0.069 0.546 7.801
2.924 8.439 3.230
2.785 5.038 8.745
0.069 5.038 8.745
5.640 8.439 3.230
2.785 0.546 7.801
2.924 3.946 2.286

# 14
HfScF3 (PBE-GGA, optimized geometry); E = -31.08 eV per cell
1.0
-0.938 0.519 4.221
3.215 -2.743 1.052
2.784 3.343 0.207
Sc Hf F
1 1 3
Cartesian
2.531 0.559 2.740
0.000 0.000 0.000
1.608 -1.372 0.526
1.392 1.671 0.104
-0.469 0.260 2.111

# 15
TiCuAu3 (PBE-GGA, optimized geometry); formation enthalpy at 0 K = 874 meV per atom; E = -17.46 eV per cell; energy relative to the lowest polymorph listed for this composition = 972 meV per atom
1.0
4.975 0.000 0.000
0.000 4.975 0.000
0.000 0.000 4.975
Au Cu Ti
3 1 1
Cartesian
0.000 2.487 0.000
0.000 0.000 2.487
2.487 0.000 0.000
2.487 2.487 2.487
0.000 0.000 0.000

# 16
MgMn5 (PBE-GGA, optimized geometry); formation enthalpy at 0 K = 195 meV per atom; E = -46.27 eV per cell
1.0
-1.509 -4.362 1.094
-4.321 -0.618 1.858
-3.420 -2.042 -2.576
Mg Mn
1 5
Cartesian
0.000 0.000 0.000
-2.312 -1.756 0.094
-5.787 -4.393 0.235
-4.068 -3.367 1.530
-5.028 -2.201 -0.315
-3.616 -4.083 -0.698

# 17
K3Tb2TiSe6 (PBE-GGA, optimized geometry); E = -59.81 eV per cell
1.0
-6.096 3.696 -0.229
2.034 -3.156 6.064
5.133 6.168 0.085
K Tb Ti Se
3 2 1 6
Cartesian
3.213 1.099 5.032
-2.141 5.610 0.888
0.536 3.354 2.960
-0.679 -0.869 3.964
-3.383 1.409 1.871
0.000 0.000 0.000
-0.323 6.429 3.611
-2.032 1.646 4.417
1.394 0.280 2.309
2.228 4.279 5.586
3.103 5.063 1.503
-1.157 2.430 0.334

# 18
Ca3Co5I12 (PBE-GGA, optimized geometry); E = -277.79 eV per cell
1.0
14.967 0.000 0.000
-4.989 14.111 0.000
-4.989 -7.055 12.220
Ca Co I
12 20 48
Cartesian
8.730 4.410 1.528
8.730 9.701 1.528
-1.247 6.173 7.638
1.247 -0.882 4.583
11.225 0.000 3.055
1.247 7.055 3.055
3.742 0.000 9.165
-6.236 7.055 9.165
3.742 7.937 7.638
6.236 0.882 4.583
-3.742 -2.646 10.693
-3.742 2.646 10.693
-1.247 3.528 3.055
-2.494 7.055 0.000
0.000 0.000 0.000
3.742 2.646 1.528
4.989 -3.528 6.110
4.989 7.055 0.000
-3.742 7.937 4.583
6.236 -4.410 10.693
6.236 6.173 4.583
1.247 -3.528 9.165
3.742 10.583 3.055
2.494 3.528 6.110
7.483 0.000 0.000
-2.494 -3.528 6.110
-1.247 0.882 7.638
-1.247 11.465 1.528
-4.989 3.528 6.110
8.730 -0.882 7.638
1.247 4.410 10.693
6.236 3.528 9.165
9.827 1.492 0.323
0.151 4.553 4.979
11.199 3.296 3.604
6.262 2.054 1.453
1.869 5.161 8.293
10.724 7.101 2.183
-1.221 8.297 5.058
-3.768 12.056 1.453
0.625 8.950 8.293
6.737 7.010 2.183
7.634 3.994 4.657
7.634 12.619 0.323
-4.363 6.235 6.433
3.241 5.142 1.052
-5.140 10.116 4.657
2.645 -2.502 7.241
-0.625 1.074 2.506
3.241 8.923 1.131
6.262 10.815 3.604
-0.746 5.187 1.131
-3.120 8.129 9.714
3.715 5.813 5.058
6.858 7.876 6.433
5.735 -1.913 11.168
1.273 1.242 7.162
-1.869 -0.821 5.787
-0.746 8.968 1.052
-1.273 -3.759 8.616
8.109 -1.074 2.506
5.735 1.868 11.089
1.748 -1.868 11.089
2.344 9.557 4.979
5.614 5.981 9.714
10.128 -3.061 7.564
9.352 0.821 5.787
-2.645 -5.563 11.897
1.748 1.913 11.168
4.363 -1.895 3.927
-1.748 0.045 10.037
-2.645 3.061 7.564
8.757 -5.001 10.767
6.210 -1.242 7.162
-1.273 5.001 10.767
-5.735 -0.045 10.037
3.120 1.895 3.927
-6.210 3.759 8.616
4.838 2.502 7.241
-4.838 5.563 11.897

# 19
Pm3AlBrCl (PBE-GGA, optimized geometry); E = -55.40 eV per cell
1.0
3.945 0.000 0.000
0.000 9.113 -2.093
0.000 -4.778 10.794
Pm Al Br Cl
6 2 2 2
Cartesian
2.959 8.181 -0.950
0.986 -3.845 9.652
0.986 3.658 4.251
2.959 0.677 4.451
2.959 3.572 0.921
0.986 0.764 7.781
0.986 1.461 1.980
2.959 2.874 6.721
0.986 5.946 -0.011
2.959 -1.610 8.712
0.986 -0.972 5.615
2.959 5.307 3.086

# 20
Nd3Ho2ErTe6 (PBE-GGA, optimized geometry); E = -62.89 eV per cell
1.0
-0.986 3.941 1.576
-7.973 -3.065 2.678
6.436 -3.485 6.717
Nd Ho Er Te
3 2 1 6
Cartesian
-4.479 0.438 2.127
2.132 0.451 6.230
-4.655 -3.059 4.740
-1.849 -1.080 7.569
-0.674 -1.529 3.402
-0.493 1.971 0.788
-3.245 -3.808 7.495
-3.064 -0.306 4.873
0.722 1.200 3.476
-1.886 -0.748 0.691
-0.637 -1.860 10.280
0.541 -2.303 6.097